Version 1
A plane-wave DFT calculation with GGA-PBE was carried out for crystalline CrCuBi2 at its relaxed geometry.

Structure (POSCAR):
```
CrCuBi2
1.0
7.608 0.000 0.000
0.000 7.608 0.000
3.804 3.804 3.301
Cr Bi Cu
2 4 2
Cartesian
3.804 3.804 0.000
3.804 7.608 1.650
5.873 1.902 0.825
1.735 5.706 0.825
5.706 5.539 2.476
9.510 9.677 2.476
0.000 0.000 0.000
7.608 3.804 1.650
```

Calculated values
Symmetry: No. 122
Magnetic moment (μB per cell): 7.38


Version 2
A plane-wave DFT calculation with GGA-PBE was carried out for crystalline CrCuBi2 at its relaxed geometry.

Structure (POSCAR):
```
CrCuBi2
1.0
-0.001 -1.132 4.894
-4.256 0.313 2.649
-2.269 -4.182 1.610
Cr Bi Cu
1 2 1
Cartesian
0.000 0.000 0.000
-1.632 -1.250 2.288
-4.895 -3.751 6.865
-3.263 -2.501 4.576
```

Calculated values
Symmetry: No. 225
Magnetic moment (μB per cell): 3.98


The most stable arrangement is version 2, and the next structure is 85 meV/atom less stable.


Version 1
A plane-wave DFT calculation with GGA-PBE was carried out for crystalline CrCuSn2Bi at its relaxed geometry.

Structure (POSCAR):
```
CrCuSn2Bi
1.0
5.932 0.000 0.000
0.000 5.177 0.000
0.000 0.000 5.932
Cr Bi Cu Sn
1 1 1 2
Cartesian
0.000 2.589 0.000
0.000 0.000 0.000
2.966 2.589 2.966
0.000 0.000 2.966
2.966 0.000 0.000
```

Calculated values
Symmetry: No. 123
Magnetic moment (μB per cell): 4.02


Version 2
A plane-wave DFT calculation with GGA-PBE was carried out for crystalline CrCuSn2Bi at its relaxed geometry.

Structure (POSCAR):
```
CrCuSn2Bi
1.0
-4.593 3.573 -1.057
-1.889 -1.191 4.181
2.886 4.473 2.578
Cr Bi Cu Sn
1 1 1 2
Cartesian
-1.798 3.427 2.851
0.000 0.000 0.000
-0.944 -0.596 2.091
1.443 2.236 1.289
-2.297 1.786 -0.528
```

Calculated values
Symmetry: No. 123
Magnetic moment (μB per cell): 0.71


The most stable arrangement is version 1, and the next structure is 382 meV/atom less stable.